SmCuSnTe2S | GGA-PBE | relaxed

Results
Final energy (eV per cell): -54.9

a b c (Å): 7.4611 7.4611 10.5116
angles (deg): 90.00 90.00 147.35
Positions (direct):
Cu 0.5189 0.4811 0.2500
Cu 0.4811 0.5189 0.7500
S 0.9317 0.0683 0.2500
S 0.0683 0.9317 0.7500
Sm 0.0000 0.0000 0.0000
Sm 0.0000 0.0000 0.5000
Sn 0.2711 0.7289 0.2500
Sn 0.7289 0.2711 0.7500
Te 0.6519 0.3481 0.0701
Te 0.6519 0.3481 0.4299
Te 0.3481 0.6519 0.5701
Te 0.3481 0.6519 0.9299